# 1
YCoH3: optimized geometry, PBE.

energy: -25.97 eV for the cell shown
crystal system: cubic

Cell: 3.496 3.496 3.496 Å, 90.00 90.00 90.00°
Fractional coordinates of all 5 atoms:
H  0.500  0.000  0.000
H  0.000  0.500  0.000
H  0.000  0.000  0.500
Co  0.000  0.000  0.000
Y  0.500  0.500  0.500

---

# 2
AcPmY2Ho: optimized geometry, PBE.

formation enthalpy at 0 K: 0.394 eV per atom
crystal system: orthorhombic

Cell: 6.464 6.541 9.358 Å, 110.46 90.00 90.00°
Fractional coordinates of all 10 atoms:
Y  0.500  0.754  0.000
Y  0.000  0.246  0.000
Y  0.000  0.754  0.000
Y  0.500  0.246  0.000
Ho  0.250  0.234  0.467
Ho  0.750  0.766  0.533
Ac  0.250  0.660  0.319
Ac  0.750  0.340  0.681
Pm  0.250  0.846  0.693
Pm  0.750  0.154  0.307

---

# 3
Co2Pt2Pb: optimized geometry, PBE.

offset from the most stable computed form: 0.0 meV/atom
formation enthalpy at 0 K: 0.177 eV per atom
crystal system: tetragonal

Cell: 7.564 7.564 2.843 Å, 90.00 90.00 90.00°
Site moments in Bohr magnetons follow the coordinates.
Fractional coordinates of all 10 atoms:
Pt  0.370  0.870  0.000  0.36
Pt  0.870  0.630  0.000  0.35
Pt  0.630  0.130  0.000  0.36
Pt  0.130  0.370  0.000  0.35
Pb  0.500  0.500  0.000  -0.01
Pb  0.000  0.000  0.000  -0.01
Co  0.335  0.165  0.500  1.86
Co  0.665  0.835  0.500  1.86
Co  0.165  0.665  0.500  1.93
Co  0.835  0.335  0.500  1.93

---

# 4
Ac3Pm2Cd3: optimized geometry, PBE.

formation enthalpy at 0 K: -0.222 eV per atom
crystal system: orthorhombic

Cell: 3.986 5.790 12.300 Å, 103.61 99.33 90.00°
Fractional coordinates of all 8 atoms:
Ac  0.376  0.376  0.753
Ac  0.624  0.624  0.247
Ac  0.500  0.000  0.000
Pm  0.265  0.765  0.530
Pm  0.735  0.235  0.470
Cd  0.000  0.500  0.000
Cd  0.125  0.125  0.250
Cd  0.875  0.875  0.750

---

# 5
ZrCr2N4: optimized geometry, PBE.

crystal system: tetragonal
energy relative to the elements, uncorrected: 0.141 eV/atom

Cell: 4.241 4.241 5.952 Å, 69.13 69.13 90.00°
Site moments in Bohr magnetons follow the coordinates.
Fractional coordinates of all 7 atoms:
N  0.000  0.500  0.000  -0.06
N  0.779  0.779  0.442  -0.31
N  0.221  0.221  0.558  -0.31
N  0.500  0.000  0.000  -0.06
Zr  0.000  0.000  0.000  0.07
Cr  0.622  0.622  0.756  2.23
Cr  0.378  0.378  0.244  2.23

---

# 6
Na2SiAs5: optimized geometry, PBE.

crystal system: tetragonal
energy relative to the elements, uncorrected: -0.011 eV/atom

Cell: 6.137 6.137 6.596 Å, 117.75 117.72 90.00°
Fractional coordinates of all 8 atoms:
As  0.259  0.688  0.947
As  0.688  0.259  0.947
As  0.849  0.850  0.699
As  0.688  0.688  0.947
As  0.259  0.259  0.947
Na  0.722  0.222  0.444
Na  0.222  0.722  0.444
Si  0.090  0.090  0.181

---

# 7
Cs2CaMnI6: optimized geometry, PBE.

offset from the most stable computed form: 0.0 meV/atom
crystal system: trigonal
energy relative to the elements, uncorrected: -1.250 eV/atom

Cell: 7.360 8.470 8.470 Å, 120.00 90.00 90.00°
Site moments in Bohr magnetons follow the coordinates.
Fractional coordinates of all 10 atoms:
I  0.769  0.673  0.836  0.03
I  0.231  0.836  0.164  0.03
I  0.769  0.164  0.327  0.03
I  0.231  0.327  0.164  0.03
I  0.231  0.836  0.673  0.03
I  0.769  0.164  0.836  0.03
Cs  0.773  0.667  0.333  0.00
Cs  0.227  0.333  0.667  0.00
Mn  0.000  0.000  0.000  4.35
Ca  0.500  0.000  0.000  0.00

---

# 8
Cd5SnAu6: optimized geometry, PBE.

offset from the most stable computed form: 0.0 meV/atom
formation enthalpy at 0 K: -0.141 eV per atom
crystal system: triclinic

Cell: 4.993 6.530 8.465 Å, 65.56 73.51 89.73°
Fractional coordinates of all 12 atoms:
Au  0.117  0.418  0.662
Au  0.882  0.086  0.338
Au  0.883  0.582  0.338
Au  0.502  0.748  0.999
Au  0.118  0.914  0.662
Au  0.498  0.252  0.001
Cd  0.379  0.834  0.335
Cd  0.618  0.667  0.668
Cd  0.382  0.333  0.332
Cd  0.621  0.166  0.665
Cd  0.000  0.500  0.000
Sn  0.000  0.000  0.000

---

# 9
Tl3Cd: optimized geometry, PBE.

formation enthalpy at 0 K: 0.045 eV per atom
crystal system: orthorhombic

Cell: 3.472 5.727 5.885 Å, 90.00 90.00 90.00°
Fractional coordinates of all 4 atoms:
Tl  0.500  0.500  0.844
Tl  0.000  0.500  0.337
Tl  0.500  0.000  0.493
Cd  0.000  0.000  0.992

---

# 10
CrIn2Pb: optimized geometry, PBE.

formation enthalpy at 0 K: 0.277 eV per atom
crystal system: tetragonal

Cell: 3.287 3.287 8.869 Å, 90.00 90.00 90.00°
Site moments in Bohr magnetons follow the coordinates.
Fractional coordinates of all 4 atoms:
Pb  0.500  0.500  0.250  0.00
In  0.000  0.000  0.549  -0.05
In  0.000  0.000  0.951  -0.05
Cr  0.500  0.500  0.750  3.38

---

# 11
AlInPb2: optimized geometry, PBE.

offset from the most stable computed form: 108.1 meV/atom
formation enthalpy at 0 K: 0.239 eV per atom
crystal system: tetragonal

Cell: 4.550 4.550 11.646 Å, 78.73 78.73 90.00°
Fractional coordinates of all 8 atoms:
In  0.750  0.250  0.500
In  0.000  0.000  0.000
Pb  0.620  0.125  0.250
Pb  0.130  0.625  0.250
Pb  0.375  0.380  0.750
Pb  0.875  0.870  0.750
Al  0.250  0.750  0.500
Al  0.500  0.500  0.000

---

# 12
LaFe3Pt: optimized geometry, PBE.

offset from the most stable computed form: 1125.2 meV/atom
formation enthalpy at 0 K: 1.603 eV per atom
crystal system: cubic

Cell: 4.507 4.507 4.507 Å, 90.00 90.00 90.00°
Site moments in Bohr magnetons follow the coordinates.
Fractional coordinates of all 5 atoms:
La  0.000  0.000  0.000  -0.30
Fe  0.000  0.000  0.500  1.96
Fe  0.500  0.000  0.000  2.06
Fe  0.000  0.500  0.000  2.08
Pt  0.500  0.500  0.500  0.19